(1)
Sr2HgSb2 (meta-GGA SCAN, single point on PBEsol structure); E = -38.09 eV per atom; formation energy (no corrections) = -644 meV/atom
1.0
-3.141 3.141 4.718
3.141 -3.141 4.718
3.141 3.141 -4.718
Sr Hg Sb
2 1 2
direct
0.250 0.750 0.500
0.750 0.250 0.500
0.000 0.000 0.000
0.346 0.346 0.000
0.654 0.654 0.000

=====

(2)
SrHg2Sb (meta-GGA SCAN, single point on PBEsol structure); E = -49.47 eV per atom; formation energy (no corrections) = -506 meV/atom
1.0
3.270 -3.335 0.000
3.270 3.335 0.000
0.000 0.000 5.414
Sr Hg Sb
1 2 1
direct
0.000 0.000 0.000
0.270 0.730 0.500
0.730 0.270 0.500
0.500 0.500 0.000

=====

(3)
SrHg2Sb (meta-GGA SCAN, single point on PBEsol structure); E = -49.43 eV per atom; formation energy (no corrections) = -461 meV/atom
1.0
0.000 3.801 3.801
3.801 0.000 3.801
3.801 3.801 0.000
Sr Hg Sb
1 2 1
direct
0.000 0.000 0.000
0.500 0.500 0.500
0.750 0.750 0.750
0.250 0.250 0.250

=====

(4)
SrHg2Sb (meta-GGA SCAN, single point on PBEsol structure); E = -49.51 eV per atom; formation energy (no corrections) = -544 meV/atom
1.0
-2.389 2.389 4.650
2.389 -2.389 4.650
2.389 2.389 -4.650
Sr Hg Sb
1 2 1
direct
0.000 0.000 0.000
0.250 0.750 0.500
0.750 0.250 0.500
0.500 0.500 0.000

=====

(5)
SrHg2Sb (meta-GGA SCAN, single point on PBEsol structure); E = -49.52 eV per atom; formation energy (no corrections) = -552 meV/atom
1.0
2.480 1.432 5.182
-2.480 1.432 5.182
0.000 -2.863 5.182
Sr Hg Sb
1 2 1
direct
0.000 0.000 0.000
0.239 0.239 0.239
0.761 0.761 0.761
0.500 0.500 0.500

=====

(6)
SrHg3Sb (meta-GGA SCAN, single point on PBEsol structure); E = -52.87 eV per atom; formation energy (no corrections) = -58 meV/atom
1.0
5.500 0.000 0.000
0.000 5.500 0.000
0.000 0.000 5.500
Sr Hg Sb
1 3 1
direct
0.000 0.000 0.000
0.000 0.500 0.500
0.500 0.000 0.500
0.500 0.500 0.000
0.500 0.500 0.500

=====

| no. | Fermi-level density of states (states/eV/atom) |
| --- | --- |
| 1 | 0.139 |
| 2 | 0.442 |
| 3 | 0.280 |
| 4 | 0.242 |
| 5 | 0.364 |
| 6 | 0.654 |